# 1
Entry from the Alexandria database: crystalline CdNi2Mo at its relaxed geometry (PBE).

Cell lengths 2.740, 2.740, 7.605 Å; angles 90.00, 90.00, 89.96 degrees
Fractional coordinates of all 4 atoms:
Cd (0.000, 0.000, 0.477)
Mo (0.500, 0.500, 0.787)
Ni (0.000, 0.000, 0.016)
Ni (0.500, 0.500, 0.220)

ΔH_f (0 K) (eV per formula unit): 0.74
Total energy (eV per atom): -5.6422
M_tot (μB per cell): 0.1
Symmetry: P4mm

# 2
Entry from the Alexandria database: crystalline Mg3AlHg at its relaxed geometry (PBE).

Cell lengths 5.202, 5.202, 5.202 Å; angles 90.00, 90.00, 90.00 degrees
Fractional coordinates of all 5 atoms:
Mg (0.000, 0.500, 0.000)
Mg (0.000, 0.000, 0.500)
Mg (0.500, 0.000, 0.000)
Hg (0.000, 0.000, 0.000)
Al (0.500, 0.500, 0.500)

ΔH_f (0 K) (eV per formula unit): 1.62
Total energy (eV per atom): -1.4414
M_tot (μB per cell): 0.0
Symmetry: Pm-3m

# 3
Entry from the Alexandria database: crystalline TaSiSb2I at its relaxed geometry (PBE).

Cell lengths 5.412, 5.412, 5.433 Å; angles 90.00, 90.00, 90.00 degrees
Fractional coordinates of all 5 atoms:
I (0.000, 0.000, 0.500)
Sb (0.000, 0.500, 0.000)
Sb (0.500, 0.000, 0.000)
Si (0.500, 0.500, 0.500)
Ta (0.000, 0.000, 0.000)

Total energy (eV per atom): -4.5069
M_tot (μB per cell): 0.9
Formation energy without anion corrections (eV per atom): 0.91
Symmetry: P4/mmm

# 4
Entry from the Alexandria database: crystalline PuGaNiPd at its relaxed geometry (PBE).

Cell lengths 4.629, 4.629, 4.629 Å; angles 60.00, 60.00, 60.00 degrees
Fractional coordinates of all 4 atoms:
Ni (0.000, 0.000, 0.000)
Ga (0.750, 0.750, 0.750)
Pd (0.500, 0.500, 0.500)
Pu (0.250, 0.250, 0.250)

ΔH_f (0 K) (eV per formula unit): -1.13
Total energy (eV per atom): -7.3655
M_tot (μB per cell): 4.9
Symmetry: F-43m

# 5
Entry from the Alexandria database: crystalline InTePtN2 at its relaxed geometry (PBE).

Cell lengths 4.106, 4.106, 5.789 Å; angles 90.00, 90.00, 90.00 degrees
Fractional coordinates of all 5 atoms:
N (0.000, 0.500, 0.000)
N (0.500, 0.000, 0.000)
Te (0.000, 0.000, 0.500)
Pt (0.000, 0.000, 0.000)
In (0.500, 0.500, 0.500)

Total energy (eV per atom): -4.5653
M_tot (μB per cell): 3.2
Formation energy without anion corrections (eV per atom): 1.15
Symmetry: P4/mmm

# 6
Entry from the Alexandria database: crystalline Ce2Ga4Rh5 at its relaxed geometry (PBE).

Cell lengths 5.742, 5.552, 7.989 Å; angles 79.29, 68.94, 58.86 degrees
Fractional coordinates of all 11 atoms:
Ce (0.877, 0.000, 0.247)
Ce (0.123, 0.000, 0.753)
Ga (0.474, 0.314, 0.739)
Ga (0.526, 0.686, 0.261)
Ga (0.213, 0.314, 0.261)
Ga (0.787, 0.686, 0.739)
Rh (0.500, 0.000, 0.000)
Rh (0.000, 0.500, 0.000)
Rh (0.500, 0.500, 0.000)
Rh (0.250, 0.500, 0.500)
Rh (0.750, 0.500, 0.500)

ΔH_f (0 K) (eV per formula unit): -7.95
Total energy (eV per atom): -6.2441
M_tot (μB per cell): 1.5
Symmetry: Fmmm

# 7
Entry from the Alexandria database: crystalline YGe2BiI at its relaxed geometry (PBE).

Cell lengths 5.594, 5.989, 5.594 Å; angles 90.00, 90.00, 90.00 degrees
Fractional coordinates of all 5 atoms:
I (0.500, 0.500, 0.500)
Y (0.000, 0.000, 0.000)
Ge (0.000, 0.000, 0.500)
Ge (0.500, 0.000, 0.000)
Bi (0.000, 0.500, 0.000)

Total energy (eV per atom): -3.7017
M_tot (μB per cell): 0.0
Formation energy without anion corrections (eV per atom): 0.52
Symmetry: P4/mmm

# 8
Entry from the Alexandria database: crystalline TmZrCuPt at its relaxed geometry (PBE).

Cell lengths 4.776, 4.776, 4.776 Å; angles 60.00, 60.00, 60.00 degrees
Fractional coordinates of all 4 atoms:
Tm (0.000, 0.000, 0.000)
Zr (0.500, 0.500, 0.500)
Pt (0.750, 0.750, 0.750)
Cu (0.250, 0.250, 0.250)

ΔH_f (0 K) (eV per formula unit): -2.58
Total energy (eV per atom): -6.4340
M_tot (μB per cell): 0.0
Symmetry: F-43m

# 9
Entry from the Alexandria database: crystalline Na7TlCd5 at its relaxed geometry (PBE).

Cell lengths 6.037, 8.413, 8.413 Å; angles 80.41, 68.97, 68.97 degrees
Fractional coordinates of all 13 atoms:
Na (0.686, 0.314, 0.314)
Na (0.364, 0.636, 0.636)
Na (0.987, 0.339, 0.687)
Na (0.987, 0.687, 0.339)
Na (0.258, 0.242, 0.242)
Na (0.493, 0.832, 0.182)
Na (0.493, 0.182, 0.832)
Tl (0.050, 0.950, 0.950)
Cd (0.482, 0.001, 0.525)
Cd (0.992, 0.001, 0.525)
Cd (0.482, 0.525, 0.001)
Cd (0.992, 0.525, 0.001)
Cd (0.733, 0.767, 0.767)

ΔH_f (0 K) (eV per formula unit): -0.79
Total energy (eV per atom): -1.3052
M_tot (μB per cell): 0.0
Symmetry: Imm2

# 10
Entry from the Alexandria database: crystalline MgZnPb2 at its relaxed geometry (PBE).

Cell lengths 4.653, 5.001, 4.339 Å; angles 90.00, 90.00, 90.00 degrees
Fractional coordinates of all 4 atoms:
Mg (0.000, 0.500, 0.500)
Pb (0.000, 0.000, 0.000)
Pb (0.500, 0.500, 0.000)
Zn (0.500, 0.000, 0.500)

ΔH_f (0 K) (eV per formula unit): 0.27
Total energy (eV per atom): -2.5049
M_tot (μB per cell): 0.0
Symmetry: Pmmm

# 11
Entry from the Alexandria database: crystalline KAs2Se at its relaxed geometry (PBE).

Cell lengths 4.011, 4.010, 7.055 Å; angles 90.00, 90.00, 90.00 degrees
Fractional coordinates of all 4 atoms:
As (0.000, 0.000, 0.074)
As (0.500, 0.500, 0.101)
K (0.000, 0.000, 0.559)
Se (0.500, 0.500, 0.766)

Total energy (eV per atom): -3.5925
M_tot (μB per cell): 0.0
Formation energy without anion corrections (eV per atom): -0.12
Symmetry: P4mm

# 12
Entry from the Alexandria database: crystalline ScMn3Cu at its relaxed geometry (PBE).

Cell lengths 4.553, 4.553, 4.553 Å; angles 90.00, 90.00, 90.00 degrees
Fractional coordinates of all 5 atoms:
Sc (0.500, 0.500, 0.500)
Mn (0.000, 0.500, 0.000)
Mn (0.000, 0.000, 0.500)
Mn (0.500, 0.000, 0.000)
Cu (0.000, 0.000, 0.000)

ΔH_f (0 K) (eV per formula unit): 3.57
Total energy (eV per atom): -6.8725
M_tot (μB per cell): 11.0
Symmetry: Pm-3m

# 13
Entry from the Alexandria database: crystalline LaDyN at its relaxed geometry (PBE).

Cell lengths 6.485, 3.561, 3.561 Å; angles 120.00, 90.00, 90.00 degrees
Fractional coordinates of all 3 atoms:
N (0.023, 0.000, 0.000)
La (0.775, 0.667, 0.333)
Dy (0.202, 0.333, 0.667)

Total energy (eV per atom): -6.8986
M_tot (μB per cell): 0.3
Formation energy without anion corrections (eV per atom): -0.95
Symmetry: P3m1

Let's list DOS at the Fermi energy in order: 1.0326; 0.5108; 1.0183; 2.9548; 0.4463; 1.2292; 1.9569; 0.9181; 0.3855; 0.4781; 0.9612; 0.6737; 1.0703 states/eV per atom.